Record 1
## Nb2Hg3SO4F10 (GGA-PBEsol)

Data for Nb2Hg3SO4F10 after structural relaxation.

Lattice parameters (Å, degrees): 15.5939 18.3738 9.2256 90.00 90.00 90.00
With the nearest neighbours (Å) after each atom.
Space group Fdd2 (No. 43)
Symmetry-distinct sites (fractional):
Nb 0.0564 0.3068 0.0000 [16 per cell]  5 F 1.90-1.93, 1 O 2.08
Hg 0.0000 0.0000 0.2584 [8 per cell]  2 Hg 2.59
Hg 0.1142 0.1008 0.2225 [16 per cell]  1 O 2.28
S 0.0000 0.0000 0.8649 [8 per cell]  4 O 1.47-1.50
O 0.0424 0.4460 0.4572 [16 per cell]  1 S 1.47
O 0.0628 0.0364 0.7658 [16 per cell]  1 S 1.50
F 0.0393 0.2030 0.0192 [16 per cell]  1 Nb 1.93
F 0.0603 0.3154 0.2077 [16 per cell]  1 Nb 1.92
F 0.0645 0.1834 0.4833 [16 per cell]  1 Nb 1.90
F 0.0715 0.4099 0.9892 [16 per cell]  1 Nb 1.91
F 0.0746 0.3014 0.7966 [16 per cell]  1 Nb 1.90

- Spin magnetization: 0.000 μB/f.u.
- Formation energy (no corrections): -2146 meV/atom
- DOS(E_F): 0.0 states/eV/cell

---

Record 2
## Nb2TlHgF (GGA-PBEsol)

Data for Nb2TlHgF after structural relaxation.

Lattice parameters (Å, degrees): 5.1811 5.1811 4.3007 90.00 90.00 90.00
With the nearest neighbours (Å) after each atom.
Space group P4/mmm (No. 123)
Symmetry-distinct sites (fractional):
Nb 0.0000 0.5000 0.0000 [2 per cell]  2 Hg 2.59
Tl 0.0000 0.0000 0.5000 [1 per cell]  8 Nb 3.37, 4 F 3.66
Hg 0.5000 0.5000 0.0000 [1 per cell]  2 F 2.15
F 0.5000 0.5000 0.5000 [1 per cell]  2 Hg 2.15

- Spin magnetization: 0.480 μB/f.u.
- Formation energy (no corrections): 1178 meV/atom
- DOS(E_F): 6.1 states/eV/cell

---

Record 3
## Ni3HgF (GGA-PBEsol)

Data for Ni3HgF after structural relaxation.

Lattice parameters (Å, degrees): 3.9681 3.9681 3.9681 90.00 90.00 90.00
With the nearest neighbours (Å) after each atom.
Space group Pm-3m (No. 221)
Symmetry-distinct sites (fractional):
Ni 0.0000 0.0000 0.5000 [3 per cell]  2 F 1.98
Hg 0.5000 0.5000 0.5000 [1 per cell]  12 Ni 2.81
F 0.0000 0.0000 0.0000 [1 per cell]  6 Ni 1.98

- Spin magnetization: 0.000 μB/f.u.
- Formation energy (no corrections): 245 meV/atom
- DOS(E_F): 6.1 states/eV/cell

---

Record 4
## Ni2Hg2OF6 (GGA-PBEsol)

Data for Ni2Hg2OF6 after structural relaxation.

Lattice parameters (Å, degrees): 10.3108 10.3108 10.3108 90.00 90.00 90.00
With the nearest neighbours (Å) after each atom.
Space group Fd-3m (No. 227, origin choice 2)
Symmetry-distinct sites (fractional):
Ni 0.0000 0.0000 0.0000 [16 per cell]  6 F 1.97
Hg 0.0000 0.0000 0.5000 [16 per cell]  2 O 2.23
O 0.1250 0.1250 0.6250 [8 per cell]  4 Hg 2.23
F 0.0731 0.3750 0.3750 [48 per cell]  2 Ni 1.97

- Spin magnetization: 4.082 μB/f.u.
- Formation energy (no corrections): -1380 meV/atom
- DOS(E_F): 31.4 states/eV/cell

---

Record 5
## Re2NiHgF (GGA-PBEsol)

Data for Re2NiHgF after structural relaxation.

Lattice parameters (Å, degrees): 4.6324 4.6324 3.5644 90.00 90.00 90.00
With the nearest neighbours (Å) after each atom.
Space group P4/mmm (No. 123)
Symmetry-distinct sites (fractional):
Re 0.0000 0.5000 0.0000 [2 per cell]  2 Ni 2.32
Ni 0.0000 0.0000 0.0000 [1 per cell]  2 F 1.78
Hg 0.5000 0.5000 0.5000 [1 per cell]  8 Re 2.92
F 0.0000 0.0000 0.5000 [1 per cell]  2 Ni 1.78

- Spin magnetization: 0.007 μB/f.u.
- Formation energy (no corrections): 1276 meV/atom
- DOS(E_F): 5.7 states/eV/cell

---

Record 6
## Hg3OF (GGA-PBEsol)

Data for Hg3OF after structural relaxation.

Lattice parameters (Å, degrees): 4.7308 4.7308 4.7308 90.00 90.00 90.00
With the nearest neighbours (Å) after each atom.
Space group Pm-3m (No. 221)
Symmetry-distinct sites (fractional):
Hg 0.0000 0.0000 0.5000 [3 per cell]  2 F 2.37
O 0.5000 0.5000 0.5000 [1 per cell]  12 Hg 3.35
F 0.0000 0.0000 0.0000 [1 per cell]  6 Hg 2.37

- Spin magnetization: 0.745 μB/f.u.
- Formation energy (no corrections): 423 meV/atom
- DOS(E_F): 4.8 states/eV/cell

---

Record 7
## HgPdO2F (GGA-PBEsol)

Data for HgPdO2F after structural relaxation.

Lattice parameters (Å, degrees): 3.9640 3.9640 4.0406 90.00 90.00 90.00
With the nearest neighbours (Å) after each atom.
Space group P4/mmm (No. 123)
Symmetry-distinct sites (fractional):
Hg 0.0000 0.0000 0.0000 [1 per cell]  4 F 2.80, 8 O 2.83
Pd 0.5000 0.5000 0.5000 [1 per cell]  4 O 1.98, 2 F 2.02
O 0.0000 0.5000 0.5000 [2 per cell]  2 Pd 1.98
F 0.5000 0.5000 0.0000 [1 per cell]  2 Pd 2.02

- Spin magnetization: 0.001 μB/f.u.
- Formation energy (no corrections): -314 meV/atom
- DOS(E_F): 3.8 states/eV/cell

---

Record 8
## Ta2Hg3SO4F10 (GGA-PBEsol)

Data for Ta2Hg3SO4F10 after structural relaxation.

Lattice parameters (Å, degrees): 15.6082 18.3604 9.1940 90.00 90.00 90.00
With the nearest neighbours (Å) after each atom.
Space group Fdd2 (No. 43)
Symmetry-distinct sites (fractional):
Ta 0.0577 0.3065 0.0000 [16 per cell]  5 F 1.89-1.92, 1 O 2.06
Hg 0.0000 0.0000 0.2599 [8 per cell]  2 Hg 2.59
Hg 0.1146 0.1004 0.2236 [16 per cell]  1 O 2.28
S 0.0000 0.0000 0.8651 [8 per cell]  4 O 1.46-1.50
O 0.0420 0.4457 0.4573 [16 per cell]  1 S 1.46
O 0.0629 0.0361 0.7652 [16 per cell]  1 S 1.50
F 0.0408 0.2033 0.0180 [16 per cell]  1 Ta 1.92
F 0.0601 0.3146 0.2072 [16 per cell]  1 Ta 1.91
F 0.0621 0.1828 0.4844 [16 per cell]  1 Ta 1.89
F 0.0739 0.3010 0.7966 [16 per cell]  1 Ta 1.89
F 0.0744 0.4087 0.9897 [16 per cell]  1 Ta 1.90

- Spin magnetization: 0.000 μB/f.u.
- Formation energy (no corrections): -2285 meV/atom
- DOS(E_F): 0.0 states/eV/cell

---

Which formula does entry 5 have? Re2NiHgF

---

Which formula does entry 3 have? Ni3HgF